*P*
DFT (PBE-GGA) results for an optimized crystal structure of ZnInNF2.

```
5
Lattice="4.1985 0.0000 0.0000 0.0000 4.1985 0.0000 0.0000 0.0000 4.3464" Properties=species:S:1:pos:R:3 pbc="T T T"
Zn 0.0000 0.0000 0.0000
In 2.0993 2.0993 2.1732
N 2.0993 2.0993 0.0000
F 0.0000 2.0993 2.1732
F 2.0993 0.0000 2.1732
```

Values from the calculation:
Crystal system: tetragonal



*Q*
DFT (PBE-GGA) results for an optimized crystal structure of ZnInNF2.

```
5
Lattice="3.8846 0.0000 0.0000 0.0000 3.8846 0.0000 0.0000 0.0000 4.3914" Properties=species:S:1:pos:R:3 pbc="T T T"
Zn 0.0000 0.0000 0.0000
In 1.9423 1.9423 2.1957
N 0.0000 0.0000 2.1957
F 0.0000 1.9423 0.0000
F 1.9423 0.0000 0.0000
```

Values from the calculation:
Crystal system: tetragonal



Which of them is the least stable? Correct choice: *P*.



*P*
DFT (PBE-GGA) results for an optimized crystal structure of ZrInNF2.

```
5
Lattice="4.2275 0.0000 0.0000 0.0000 4.2275 0.0000 0.0000 0.0000 4.2599" Properties=species:S:1:pos:R:3 pbc="T T T"
Zr 0.0000 0.0000 0.0000
In 2.1138 2.1138 2.1300
N 2.1138 2.1138 0.0000
F 0.0000 2.1138 2.1300
F 2.1138 0.0000 2.1300
```

Values from the calculation:
Crystal system: tetragonal



*Q*
DFT (PBE-GGA) results for an optimized crystal structure of ZrInNF2.

```
5
Lattice="4.3873 0.0000 0.0000 0.0000 4.3873 0.0000 0.0000 0.0000 4.2322" Properties=species:S:1:pos:R:3 pbc="T T T"
Zr 0.0000 0.0000 0.0000
In 2.1937 2.1937 2.1161
N 0.0000 0.0000 2.1161
F 0.0000 2.1937 0.0000
F 2.1937 0.0000 0.0000
```

Values from the calculation:
Crystal system: tetragonal



Which of them is the least stable? Correct choice: *P*.